(w)
4
Lattice="2.977 0.000 0.000 0.000 4.144 0.000 0.000 0.000 4.273" Properties=species:S:1:pos:R:3 comment="Cr2MoOs meta-GGA SCAN single point on PBEsol structure" crystal_system=orthorhombic magnetic_moment_mub_per_fu=1.4 density_g_cm3=12.29 space_group=Pmmm pbc="T T T"
Mo 1.489 2.072 0.000
Cr 0.000 0.000 0.000
Cr 1.489 0.000 2.136
Os 0.000 2.072 2.136



(x)
4
Lattice="-2.335 0.793 -1.680 -2.497 -2.650 2.221 1.544 3.965 2.374" Properties=species:S:1:pos:R:3 comment="Cr2MoOs meta-GGA SCAN single point on PBEsol structure" crystal_system=orthorhombic magnetic_moment_mub_per_fu=0.0 density_g_cm3=12.36 space_group=Immm pbc="T T T"
Cr -0.452 1.575 1.371
Mo -1.249 -1.325 1.110
Cr -2.836 0.533 1.543
Os -1.168 0.396 -0.840



(y)
4
Lattice="4.184 0.000 0.000 2.092 3.623 0.000 2.092 1.208 3.416" Properties=species:S:1:pos:R:3 comment="Cr2MoOs meta-GGA SCAN single point on PBEsol structure" crystal_system=cubic magnetic_moment_mub_per_fu=0.0 density_g_cm3=12.51 space_group=Fm-3m pbc="T T T"
Mo 0.000 0.000 0.000
Cr 6.276 3.623 2.562
Os 4.184 2.416 1.708
Cr 2.092 1.208 0.854



(z)
4
Lattice="2.952 0.000 0.000 0.000 2.953 0.000 0.000 0.000 5.947" Properties=species:S:1:pos:R:3 comment="Cr2MoOs meta-GGA SCAN single point on PBEsol structure" crystal_system=tetragonal magnetic_moment_mub_per_fu=0.0 density_g_cm3=12.50 space_group=P4/mmm pbc="T T T"
Mo 1.476 1.476 0.000
Cr 0.000 0.000 4.506
Os 1.476 1.476 2.974
Cr 0.000 0.000 1.441



Stability verdict: (w), ahead by 9 meV per atom